No. 1
DFT (PBE) results for an optimized crystal structure of KMg14Ni.

Summary:
Formation enthalpy at 0 K   0.1160 eV/atom
Calculated volume   371 Å³/cell
Size of the total moment   0.0 μB per formula unit
Fermi-level density of states   0.354 states/eV per atom

CIF file:
```
data_KMg14Ni
_space_group_name_H-M_alt 'P -6 m 2'
_space_group_IT_number 187
_space_group_name_Hall 'P -6 2'
_cell_length_a 6.4108
_cell_length_b 6.4108
_cell_length_c 10.4211
_cell_angle_alpha 90.00
_cell_angle_beta 90.00
_cell_angle_gamma 120.00
loop_
_atom_site_label
_atom_site_type_symbol
_atom_site_fract_x
_atom_site_fract_y
_atom_site_fract_z
K1 K 0.0000 0.0000 0.0000
Mg1 Mg 0.0103 0.5052 0.0000
Mg2 Mg 0.1627 0.3255 0.2775
Mg3 Mg 0.5062 0.0124 0.5000
Mg4 Mg 0.6667 0.3333 0.2396
Ni1 Ni 0.0000 0.0000 0.5000
```

=====

No. 2
DFT (PBE) results for an optimized crystal structure of Pm2PrGe.

Summary:
Excess energy over the best structure of this formula in the dataset   0.037 eV/atom
Formation enthalpy at 0 K   -0.3189 eV/atom
Calculated volume   116 Å³/cell
Size of the total moment   0.0 μB per formula unit
Fermi-level density of states   1.269 states/eV per atom

CIF file:
```
data_Pm2PrGe
_space_group_name_H-M_alt 'P 4/m m m'
_space_group_IT_number 123
_space_group_name_Hall '-P 4 2'
_cell_length_a 3.9539
_cell_length_b 3.9539
_cell_length_c 7.4282
_cell_angle_alpha 90.00
_cell_angle_beta 90.00
_cell_angle_gamma 90.00
loop_
_atom_site_label
_atom_site_type_symbol
_atom_site_fract_x
_atom_site_fract_y
_atom_site_fract_z
Pm1 Pm 0.0000 0.0000 0.1994
Pr1 Pr 0.5000 0.5000 0.5000
Ge1 Ge 0.5000 0.5000 0.0000
```

=====

No. 3
DFT (PBE) results for an optimized crystal structure of Tl3RhBr.

Summary:
Excess energy over the best structure of this formula in the dataset   1.139 eV/atom
ΔE_f (raw)   801 meV/atom
Calculated volume   211 Å³/cell
Size of the total moment   0.1 μB per formula unit
Fermi-level density of states   4.380 states/eV per atom

CIF file:
```
data_Tl3RhBr
_space_group_name_H-M_alt 'P m -3 m'
_space_group_IT_number 221
_space_group_name_Hall '-P 4 2 3'
_cell_length_a 5.9544
_cell_length_b 5.9544
_cell_length_c 5.9544
_cell_angle_alpha 90.00
_cell_angle_beta 90.00
_cell_angle_gamma 90.00
loop_
_atom_site_label
_atom_site_type_symbol
_atom_site_fract_x
_atom_site_fract_y
_atom_site_fract_z
Tl1 Tl 0.0000 0.0000 0.5000
Rh1 Rh 0.5000 0.5000 0.5000
Br1 Br 0.0000 0.0000 0.0000
```